Record 1
Entry from OQMD: a geometry-optimized Ge2BPd6 structure (PBE).

uncorrected energy: -50.67 eV for the cell shown

Cell: 6.816 6.816 3.157 Å, 90.00 90.00 120.00°
Sites, in units of the cell vectors:
Pd 0.599 0.000 0.000
Ge 0.667 0.333 0.500
Pd 0.401 0.401 0.000
Pd 0.763 0.763 0.500
Pd 0.000 0.237 0.500
B 0.000 0.000 0.000
Ge 0.333 0.667 0.500
Pd 0.237 0.000 0.500
Pd 0.000 0.599 0.000

=====

Record 2
Entry from OQMD: a geometry-optimized PrIn structure (PBE).

total magnetic moment: 0.00 μB per formula unit
uncorrected energy: -8.50 eV for the cell shown

Cell: 3.902 3.902 3.902 Å, 90.00 90.00 90.00°
Sites, in units of the cell vectors:
Pr 0.500 0.500 0.500
In 0.000 0.000 0.000

=====

Record 3
Entry from OQMD: a geometry-optimized KLuCdS3 structure (PBE).

total magnetic moment: 0.00 μB per formula unit
excess energy over the best structure of this formula in the dataset: 6 meV/atom

Cell: 7.994 4.047 10.439 Å, 90.00 109.14 90.00°
Sites, in units of the cell vectors:
Cd 0.585 0.250 0.113
S 0.041 0.250 0.366
K 0.236 0.750 0.227
S 0.250 0.250 0.935
S 0.959 0.750 0.634
S 0.418 0.750 0.650
S 0.582 0.250 0.350
K 0.764 0.250 0.773
Lu 0.181 0.250 0.628
Cd 0.415 0.750 0.887
Lu 0.819 0.750 0.372
S 0.750 0.750 0.065

=====

Record 4
Entry from OQMD: a geometry-optimized HfNiBiIr structure (PBE).

total magnetic moment: 0.01 μB per formula unit
uncorrected energy: -28.25 eV for the cell shown

Cell: 4.671 4.671 4.671 Å, 60.00 60.00 60.00°
Sites, in units of the cell vectors:
Ni 0.750 0.750 0.750
Bi 0.000 0.000 0.000
Hf 0.250 0.250 0.250
Ir 0.500 0.500 0.500

=====

Record 5
Entry from OQMD: a geometry-optimized YSnPd structure (PBE).

total magnetic moment: 0.00 μB per formula unit
uncorrected energy: -72.22 eV for the cell shown

Cell: 4.764 4.567 12.189 Å, 90.00 90.00 90.00°
Sites, in units of the cell vectors:
Sn 0.250 0.750 0.859
Y 0.245 0.250 0.648
Pd 0.257 0.750 0.494
Y 0.755 0.750 0.352
Y 0.745 0.250 0.852
Sn 0.750 0.750 0.641
Y 0.255 0.750 0.148
Sn 0.250 0.250 0.359
Pd 0.243 0.250 0.994
Pd 0.743 0.250 0.506
Sn 0.750 0.250 0.141
Pd 0.757 0.750 0.006

=====

Record 6
Entry from OQMD: a geometry-optimized Gd3Dy3FeTe2 structure (PBE).

total magnetic moment: 0.26 μB per formula unit
excess energy over the best structure of this formula in the dataset: 29 meV/atom

Cell: 8.389 8.389 3.961 Å, 90.00 90.00 120.00°
Each line ends with the local moment (μB).
Sites, in units of the cell vectors:
Dy 0.000 0.601 0.500  0.08
Gd 0.000 0.237 0.000  0.15
Dy 0.601 0.000 0.500  0.10
Dy 0.399 0.399 0.500  0.10
Fe 0.000 0.000 0.500  -1.34
Gd 0.237 0.000 0.000  0.16
Gd 0.763 0.763 0.000  0.17
Te 0.667 0.333 0.000  0.00
Te 0.333 0.667 0.000  0.00

=====

Record 7
Entry from OQMD: a geometry-optimized La2Sb2IrOsO2 structure (PBE).

total magnetic moment: 0.02 μB per formula unit
uncorrected energy: -61.37 eV for the cell shown

Cell: 4.274 4.274 8.756 Å, 90.00 90.00 90.00°
Sites, in units of the cell vectors:
Sb 0.000 0.500 0.170
O 0.000 0.000 0.500
O 0.500 0.500 0.500
Sb 0.500 0.000 0.830
Ir 0.000 0.000 0.000
La 0.500 0.000 0.371
La 0.000 0.500 0.629
Os 0.500 0.500 0.000

=====

Record 8
Entry from OQMD: a geometry-optimized TbCuSnSe3 structure (PBE).

total magnetic moment: 0.00 μB per formula unit
uncorrected energy: -56.30 eV for the cell shown

Cell: 9.354 9.354 8.220 Å, 102.89 102.89 24.90°
Sites, in units of the cell vectors:
Tb 0.162 0.162 0.584
Se 0.500 0.500 0.000
Se 0.674 0.674 0.346
Sn 0.876 0.876 0.933
Se 0.324 0.324 0.167
Cu 0.460 0.460 0.292
Sn 0.124 0.124 0.067
Tb 0.838 0.838 0.416
Se 0.000 0.000 0.500
Se 0.326 0.326 0.654
Se 0.676 0.676 0.833
Cu 0.540 0.540 0.708

=====

- Which formula does entry 8 have?
  TbCuSnSe3